VASP calculation (GGA-PBE) on an optimized crystal structure of Th2ScP3Ir4.

```
10
Lattice="-0.338 -3.414 -2.127 2.576 1.455 -2.745 8.384 -4.309 5.585" Properties=species:S:1:pos:R:3 pbc="T T T"
Th 1.774 -2.706 0.231
Th 7.729 -2.583 2.917
Sc 5.311 -3.134 0.356
P 4.192 -2.155 2.792
P 7.131 -5.459 3.799
P 2.372 0.170 -0.650
Ir 1.119 -0.979 -2.436
Ir 0.000 0.000 0.000
Ir 5.323 -4.530 2.595
Ir 4.180 -0.759 0.554
```

Results
Its energy relative to the elements is -10.21 eV/f.u. The value obtained for the total energy is -8.305 eV per atom. As for the volume: 178.5 Å³ per cell. Its symmetry is P-4m2.

---

VASP calculation (GGA-PBE) on an optimized crystal structure of TmScP2Ir5.

```
9
Lattice="-1.430 3.605 0.844 -2.592 -0.329 -2.988 -7.174 -4.417 6.710" Properties=species:S:1:pos:R:3 pbc="T T T"
Tm -3.587 -2.208 3.355
Sc 0.000 0.000 0.000
P -4.079 0.364 0.862
P -7.117 -1.506 3.704
Ir -2.611 -0.974 -0.264
Ir -2.030 0.993 1.651
Ir -7.155 -3.772 3.987
Ir -6.574 -1.805 5.902
Ir -5.598 -0.571 2.283
```

Results
Its energy relative to the elements is -5.32 eV/f.u. The value obtained for the total energy is -7.916 eV per atom. As for the volume: 169.6 Å³ per cell. Its symmetry is P4/mmm.

---

VASP calculation (GGA-PBE) on an optimized crystal structure of ScUP2Ir5.

```
9
Lattice="4.020 0.000 0.000 0.000 4.020 0.000 0.000 0.000 10.502" Properties=species:S:1:pos:R:3 pbc="T T T"
Sc 0.000 0.000 0.000
U 0.000 0.000 5.251
P 2.010 2.010 2.961
P 2.010 2.010 7.541
Ir 0.000 2.010 8.583
Ir 2.010 0.000 8.583
Ir 0.000 2.010 1.919
Ir 2.010 0.000 1.919
Ir 2.010 2.010 5.251
```

Results
Its energy relative to the elements is -4.28 eV/f.u. The value obtained for the total energy is -8.558 eV per atom. As for the volume: 169.7 Å³ per cell. Its symmetry is P4/mmm.

---

VASP calculation (GGA-PBE) on an optimized crystal structure of P2IrSe2.

```
10
Lattice="-0.157 5.516 -2.224 -5.847 -0.552 -0.954 -1.026 2.032 5.111" Properties=species:S:1:pos:R:3 pbc="T T T"
P -5.106 1.529 -1.633
P -3.857 4.412 -2.528
P -0.898 3.435 -1.546
P -2.147 0.552 -0.650
Ir 0.000 0.000 0.000
Ir -3.002 2.482 -1.589
Se -5.608 2.535 0.928
Se -4.381 5.417 0.029
Se -1.422 4.461 1.003
Se -2.649 1.579 1.902
```

Results
Its uncorrected formation energy is 44 meV/atom. The value obtained for the total energy is -5.286 eV per atom. As for the volume: 198.0 Å³ per cell. Its symmetry is P4/mbm.

---

VASP calculation (GGA-PBE) on an optimized crystal structure of PIrSe.

```
3
Lattice="-0.274 3.146 2.062 -2.774 -2.554 0.079 2.447 -2.528 4.184" Properties=species:S:1:pos:R:3 pbc="T T T"
P -0.683 0.808 2.126
Ir 0.114 -0.118 0.195
Se -0.032 -2.626 4.003
```

Results
Its uncorrected formation energy is -206 meV/atom. The value obtained for the total energy is -6.125 eV per atom. As for the volume: 67.3 Å³ per cell. Its symmetry is P3m1.

---

VASP calculation (GGA-PBE) on an optimized crystal structure of PIr4Se2.

```
7
Lattice="4.613 0.000 0.000 0.000 4.613 0.000 2.306 2.306 6.112" Properties=species:S:1:pos:R:3 pbc="T T T"
P 0.000 0.000 0.000
Ir 4.613 4.613 2.188
Ir 2.306 2.306 3.924
Ir 0.000 2.306 0.000
Ir 2.306 0.000 0.000
Se 4.613 4.613 4.601
Se 2.306 2.306 1.511
```

Results
Its uncorrected formation energy is 841 meV/atom. The value obtained for the total energy is -5.991 eV per atom. As for the volume: 130.0 Å³ per cell. Its symmetry is I4/mmm.

---

VASP calculation (GGA-PBE) on an optimized crystal structure of PIrSe.

```
3
Lattice="0.000 2.943 2.943 2.943 0.000 2.943 2.943 2.943 0.000" Properties=species:S:1:pos:R:3 pbc="T T T"
P 1.471 1.471 1.471
Ir 2.943 2.943 2.943
Se 0.000 0.000 0.000
```

Results
Its uncorrected formation energy is 597 meV/atom. The value obtained for the total energy is -5.321 eV per atom. As for the volume: 51.0 Å³ per cell. Its symmetry is F-43m.

---

VASP calculation (GGA-PBE) on an optimized crystal structure of P3IrSe.

```
5
Lattice="4.634 0.000 0.000 0.000 4.634 0.000 0.000 0.000 4.634" Properties=species:S:1:pos:R:3 pbc="T T T"
P 0.000 2.317 0.000
P 0.000 0.000 2.317
P 2.317 0.000 0.000
Ir 0.000 0.000 0.000
Se 2.317 2.317 2.317
```

Results
Its uncorrected formation energy is 735 meV/atom. The value obtained for the total energy is -4.980 eV per atom. As for the volume: 99.5 Å³ per cell. Its symmetry is Pm-3m.

---

VASP calculation (GGA-PBE) on an optimized crystal structure of PIrSe.

```
12
Lattice="5.861 0.000 0.000 0.000 6.031 0.606 0.000 -2.070 5.696" Properties=species:S:1:pos:R:3 pbc="T T T"
P 0.722 0.285 5.315
P 0.722 4.336 2.769
P 3.653 -0.375 3.533
P 3.652 3.675 0.987
Se 5.180 2.704 3.795
Se 5.180 0.723 0.645
Se 2.249 3.237 5.658
Se 2.250 1.257 2.507
Ir 5.831 0.370 3.064
Ir 2.901 3.591 3.238
Ir 2.900 -0.460 5.784
Ir 5.831 4.420 0.519
```

Results
Its uncorrected formation energy is -592 meV/atom. The value obtained for the total energy is -6.511 eV per atom. As for the volume: 208.7 Å³ per cell. Its symmetry is Pmn2_1.

---

VASP calculation (GGA-PBE) on an optimized crystal structure of P2IrSe2.

```
5
Lattice="-5.060 -0.564 0.387 -0.319 -0.615 -5.058 -2.270 -4.080 -1.937" Properties=species:S:1:pos:R:3 pbc="T T T"
P -2.545 -1.792 -2.198
P -5.103 -3.467 -4.410
Ir 0.000 0.000 0.000
Se -5.009 -2.617 -1.943
Se -2.639 -2.643 -4.665
```

Results
Its uncorrected formation energy is 631 meV/atom. The value obtained for the total energy is -4.699 eV per atom. As for the volume: 92.2 Å³ per cell. Its symmetry is I4/mmm.

---

VASP calculation (GGA-PBE) on an optimized crystal structure of PIrSe.

```
3
Lattice="-0.759 -6.921 3.000 -4.350 -5.150 3.468 1.969 5.323 -5.026" Properties=species:S:1:pos:R:3 pbc="T T T"
P -1.974 -4.665 2.500
Ir -5.000 -11.813 6.331
Se -3.243 -7.663 4.107
```

Results
Its uncorrected formation energy is 138 meV/atom. The value obtained for the total energy is -5.780 eV per atom. As for the volume: 59.4 Å³ per cell. Its symmetry is I4mm.

---

VASP calculation (GGA-PBE) on an optimized crystal structure of PIrSe.

```
12
Lattice="5.866 0.000 0.000 0.000 5.827 -1.490 0.000 0.181 6.075" Properties=species:S:1:pos:R:3 pbc="T T T"
P 3.645 5.123 2.589
P 2.220 0.884 1.996
P 0.712 3.797 1.251
P 5.153 2.210 3.334
Ir 0.096 1.535 1.243
Ir 2.837 4.449 0.498
Ir 5.770 4.472 3.343
Ir 3.029 1.559 4.088
Se 3.629 2.013 0.437
Se 2.237 3.994 4.148
Se 5.170 4.927 -0.308
Se 0.696 1.081 4.893
```

Results
Its uncorrected formation energy is -613 meV/atom. The value obtained for the total energy is -6.532 eV per atom. As for the volume: 209.2 Å³ per cell. Its symmetry is P2_1/c.

---

VASP calculation (GGA-PBE) on an optimized crystal structure of PIrSe.

```
3
Lattice="0.000 2.976 2.976 2.976 0.000 2.976 2.976 2.976 0.000" Properties=species:S:1:pos:R:3 pbc="T T T"
P 0.000 0.000 0.000
Ir 1.488 1.488 1.488
Se 2.976 2.976 2.976
```

Results
Its uncorrected formation energy is -105 meV/atom. The value obtained for the total energy is -6.023 eV per atom. As for the volume: 52.7 Å³ per cell. Its symmetry is F-43m.